# NaNd6Te8, optimized geometry, DFT GGA-PBE
# relative energy among the computed polymorphs	102.8	meV per atom
# volume	574.2	Å³/cell
# energy relative to the elements, uncorrected	-1.30	eV/atom
data_NaNd6Te8
_space_group_name_H-M_alt 'P 1'
_space_group_IT_number 1
_space_group_name_Hall 'P 1'
_cell_length_a 4.6011
_cell_length_b 12.0040
_cell_length_c 12.0040
_cell_angle_alpha 120.00
_cell_angle_beta 90.00
_cell_angle_gamma 90.00
loop_
_atom_site_label
_atom_site_type_symbol
_atom_site_fract_x
_atom_site_fract_y
_atom_site_fract_z
Na1 Na 0.5000 0.0000 0.0000
Nd1 Nd 0.7503 0.5159 0.6507
Nd2 Nd 0.7503 0.3493 0.8652
Nd3 Nd 0.7503 0.1348 0.4841
Nd4 Nd 0.2497 0.4841 0.3493
Nd5 Nd 0.2497 0.6507 0.1348
Nd6 Nd 0.2497 0.8652 0.5159
Te1 Te 0.7490 0.6527 0.9551
Te2 Te 0.7490 0.0449 0.6976
Te3 Te 0.7490 0.3024 0.3473
Te4 Te 0.2510 0.3473 0.0449
Te5 Te 0.2510 0.9551 0.3024
Te6 Te 0.2510 0.6976 0.6527
Te7 Te 0.7498 0.6667 0.3333
Te8 Te 0.2502 0.3333 0.6667

***

# Na3Nd2ThTe6, optimized geometry, DFT GGA-PBE
# volume	401.5	Å³/cell
# energy relative to the elements, uncorrected	-1.26	eV/atom
data_Na3Nd2ThTe6
_space_group_name_H-M_alt 'P 1'
_space_group_IT_number 1
_space_group_name_Hall 'P 1'
_cell_length_a 7.7871
_cell_length_b 7.7871
_cell_length_c 8.0742
_cell_angle_alpha 99.25
_cell_angle_beta 99.25
_cell_angle_gamma 119.99
loop_
_atom_site_label
_atom_site_type_symbol
_atom_site_fract_x
_atom_site_fract_y
_atom_site_fract_z
Na1 Na 0.1684 0.8316 0.5000
Na2 Na 0.8316 0.1684 0.5000
Na3 Na 0.5000 0.5000 0.5000
Nd1 Nd 0.3336 0.6664 0.0000
Nd2 Nd 0.6664 0.3336 0.0000
Th1 Th 0.0000 0.0000 0.0000
Te1 Te 0.9194 0.5902 0.7580
Te2 Te 0.7517 0.7517 0.2419
Te3 Te 0.0806 0.4098 0.2420
Te4 Te 0.5902 0.9194 0.7580
Te5 Te 0.2483 0.2483 0.7581
Te6 Te 0.4098 0.0806 0.2420

***

# Na2NdThTe4, optimized geometry, DFT GGA-PBE
# volume	266.1	Å³/cell
# energy relative to the elements, uncorrected	-1.21	eV/atom
data_Na2NdThTe4
_space_group_name_H-M_alt 'P 1'
_space_group_IT_number 1
_space_group_name_Hall 'P 1'
_cell_length_a 4.4670
_cell_length_b 7.7528
_cell_length_c 8.0998
_cell_angle_alpha 108.46
_cell_angle_beta 90.00
_cell_angle_gamma 90.00
loop_
_atom_site_label
_atom_site_type_symbol
_atom_site_fract_x
_atom_site_fract_y
_atom_site_fract_z
Na1 Na 0.5000 0.0000 0.5000
Na2 Na 0.0000 0.5000 0.5000
Nd1 Nd 0.5000 0.5000 0.0000
Th1 Th 0.0000 0.0000 0.0000
Te1 Te 0.5000 0.2453 0.2433
Te2 Te 0.5000 0.7547 0.7567
Te3 Te 0.0000 0.2491 0.7572
Te4 Te 0.0000 0.7509 0.2428

***

# NaNd3Th2Te6, optimized geometry, DFT GGA-PBE
# volume	384.5	Å³/cell
# energy relative to the elements, uncorrected	-1.26	eV/atom
data_NaNd3Th2Te6
_space_group_name_H-M_alt 'P 1'
_space_group_IT_number 1
_space_group_name_Hall 'P 1'
_cell_length_a 4.4682
_cell_length_b 9.0313
_cell_length_c 10.0661
_cell_angle_alpha 103.54
_cell_angle_beta 102.82
_cell_angle_gamma 90.00
loop_
_atom_site_label
_atom_site_type_symbol
_atom_site_fract_x
_atom_site_fract_y
_atom_site_fract_z
Na1 Na 0.5000 0.0000 0.0000
Nd1 Nd 0.5000 0.5000 0.0000
Nd2 Nd 0.8336 0.1687 0.6673
Nd3 Nd 0.1664 0.8313 0.3327
Th1 Th 0.8273 0.6498 0.6547
Th2 Th 0.1727 0.3502 0.3453
Te1 Te 0.3348 0.9108 0.6696
Te2 Te 0.6628 0.5897 0.3257
Te3 Te 0.6652 0.0892 0.3304
Te4 Te 0.0042 0.2488 0.0084
Te5 Te 0.9958 0.7512 0.9916
Te6 Te 0.3372 0.4103 0.6743

***

Number 1: energy -4.97 eV per atom. Number 2: energy -4.57 eV per atom. Number 3: energy -4.64 eV per atom. Number 4: energy -5.37 eV per atom.